Density functional theory data (PBE) for crystalline CaYTm2Te4 at its relaxed geometry.

Unit cell a=7.547 b=4.340 c=7.575 alpha=90.00 beta=109.12 gamma=90.00
Fractional positions:
Ca 0.000 0.000 0.000
Y 0.000 0.500 0.500
Tm 0.500 0.000 0.500
Tm 0.500 0.500 0.000
Te 0.256 0.000 0.752
Te 0.257 0.500 0.253
Te 0.743 0.500 0.747
Te 0.744 0.000 0.248

Calculated values
**SG**: P2/m
**Calculated total energy**: -40.51 eV/f.u.

=====

Density functional theory data (PBE) for crystalline Ca3Y3TmTe8 at its relaxed geometry.

Unit cell a=8.913 b=8.913 c=8.913 alpha=58.81 beta=58.81 gamma=58.81
Fractional positions:
Ca 0.000 0.500 0.500
Ca 0.500 0.000 0.500
Ca 0.500 0.500 0.000
Y 0.000 0.000 0.500
Y 0.000 0.500 0.000
Y 0.500 0.000 0.000
Tm 0.500 0.500 0.500
Te 0.247 0.748 0.748
Te 0.248 0.248 0.248
Te 0.252 0.252 0.753
Te 0.252 0.753 0.252
Te 0.748 0.247 0.748
Te 0.748 0.748 0.247
Te 0.752 0.752 0.752
Te 0.753 0.252 0.252

Calculated values
**SG**: R-3m
**Calculated total energy**: -77.35 eV/f.u.

=====

Density functional theory data (PBE) for crystalline Ca3YTm2Te6 at its relaxed geometry.

Unit cell a=7.580 b=7.580 c=7.717 alpha=99.45 beta=99.45 gamma=119.94
Fractional positions:
Ca 0.000 0.000 0.000
Ca 0.335 0.665 0.000
Ca 0.665 0.335 0.000
Y 0.500 0.500 0.500
Tm 0.167 0.833 0.500
Tm 0.833 0.167 0.500
Te 0.082 0.419 0.257
Te 0.243 0.243 0.742
Te 0.419 0.082 0.257
Te 0.581 0.918 0.743
Te 0.757 0.757 0.258
Te 0.918 0.581 0.743

Calculated values
**SG**: C2/m
**Calculated total energy**: -57.38 eV/f.u.

=====

Density functional theory data (PBE) for crystalline CaUTe2 at its relaxed geometry.

Unit cell a=8.025 b=8.025 c=8.025 alpha=31.18 beta=31.18 gamma=31.18
Fractional positions:
Ca 0.000 0.000 0.000
U 0.500 0.500 0.500
Te 0.250 0.250 0.250
Te 0.750 0.750 0.750

Calculated values
**SG**: R-3m
**Calculated total energy**: -23.41 eV/f.u.